(1)
Here is OsSeCl3 after structural relaxation from the Alexandria database. Energies are from PBE.

Unit cell a=5.1340 b=5.1340 c=5.1340 alpha=90.00 beta=90.00 gamma=90.00
With the nearest neighbours (Å) after each atom.
Space group Pm-3m (No. 221)
Asymmetric unit:
Os (0.0000, 0.0000, 0.0000) [1 per cell]  12 Cl 3.63
Se (0.5000, 0.5000, 0.5000) [1 per cell]  6 Cl 2.57
Cl (0.0000, 0.5000, 0.5000) [3 per cell]  2 Se 2.57

Output
Mass density   4.6 g/cm³
E_tot   -2.76 eV per atom
Formation energy from raw total energies   1.290 eV/atom
Energy above the most stable polymorph in this dataset   1595 meV/atom



(2)
Here is MnInI4 after structural relaxation from the Alexandria database. Energies are from PBE.

Unit cell a=8.5872 b=7.0454 c=8.5920 alpha=90.00 beta=118.22 gamma=90.00
With the nearest neighbours (Å) after each atom.
Space group P2_1/c (No. 14)
Asymmetric unit:
Mn (0.0000, 0.0000, 0.0000) [2 per cell]  6 I 2.81-3.14
In (0.5000, 0.0000, 0.5000) [2 per cell]  6 I 3.09-3.16
I (0.1496, 0.2350, 0.3083) [4 per cell]  2 Mn 2.86-3.14, 1 In 3.13
I (0.3160, 0.7087, 0.6415) [4 per cell]  1 Mn 2.81, 1 In 3.09

Output
Mass density   4.9 g/cm³
E_tot   -3.39 eV per atom
Formation energy from raw total energies   -0.370 eV/atom
Energy above the most stable polymorph in this dataset   29 meV/atom



(3)
Here is Co2MoHPd after structural relaxation from the Alexandria database. Energies are from PBE.

Unit cell a=3.8239 b=3.8239 c=3.6834 alpha=90.00 beta=90.00 gamma=90.00
With the nearest neighbours (Å) after each atom.
Space group P4/mmm (No. 123)
Asymmetric unit:
Co (0.0000, 0.5000, 0.0000) [2 per cell]  2 H 1.91
Mo (0.0000, 0.0000, 0.5000) [1 per cell]  8 Co 2.65, 4 Pd 2.70
H (0.5000, 0.5000, 0.0000) [1 per cell]  2 Pd 1.84, 4 Co 1.91
Pd (0.5000, 0.5000, 0.5000) [1 per cell]  2 H 1.84

Output
Mass density   9.9 g/cm³
E_tot   -6.54 eV per atom
Energy above the most stable polymorph in this dataset   41 meV/atom



(4)
Here is CaCeZnAg after structural relaxation from the Alexandria database. Energies are from PBE.

Unit cell a=7.3827 b=7.3827 c=7.3827 alpha=90.00 beta=90.00 gamma=90.00
With the nearest neighbours (Å) after each atom.
Space group F-43m (No. 216)
Asymmetric unit:
Ca (0.0000, 0.0000, 0.0000) [4 per cell]  4 Zn 3.20, 4 Ag 3.20
Ce (0.0000, 0.0000, 0.5000) [4 per cell]  4 Zn 3.20, 4 Ag 3.20
Zn (0.2500, 0.2500, 0.2500) [4 per cell]  4 Ce 3.20, 4 Ca 3.20
Ag (0.2500, 0.2500, 0.7500) [4 per cell]  4 Ce 3.20, 4 Ca 3.20

Output
Mass density   5.8 g/cm³
E_tot   -3.20 eV per atom
Formation energy from the elements   -0.189 eV per atom